First-principles (PBE) data for a geometry-optimized Ta2IrPt structure, as listed in the Alexandria database.

Structure (POSCAR):
```
Ta2IrPt
1.0
-5.0246 -4.4930 -2.4726
4.4170 -5.5503 1.1099
-1.3173 -5.3112 1.9042
Ir Pt Ta
2 2 4
Direct
0.5000 0.5000 0.0000 Ir
0.2500 0.7500 0.5000 Ir
0.0000 0.0000 0.0000 Pt
0.7500 0.2500 0.5000 Pt
0.6138 0.1250 0.2500 Ta
0.1362 0.6250 0.2500 Ta
0.3750 0.3862 0.7500 Ta
0.8750 0.8638 0.7500 Ta
```

Computed properties:
Energy of formation from the pure elements = -32.6 meV per atom
Space group = I-42d, No. 122



First-principles (PBE) data for a geometry-optimized HoPuHg6 structure, as listed in the Alexandria database.

Structure (POSCAR):
```
HoPuHg6
1.0
5.0860 0.0000 0.0000
0.0000 6.6661 -0.2127
0.0000 -3.1421 5.8830
Ho Pu Hg
1 1 6
Direct
0.0000 0.0846 0.9154 Ho
0.5000 0.4156 0.5844 Pu
0.0000 0.0797 0.4142 Hg
0.0000 0.5858 0.9203 Hg
0.0000 0.5838 0.4162 Hg
0.5000 0.4164 0.0842 Hg
0.5000 0.9158 0.5836 Hg
0.5000 0.9178 0.0822 Hg
```

Computed properties:
Energy of formation from the pure elements = -225.9 meV per atom
Space group = Amm2, No. 38



First-principles (PBE) data for a geometry-optimized K3SrSc structure, as listed in the Alexandria database.

Structure (POSCAR):
```
K3SrSc
1.0
-1.5194 -6.6191 1.3705
3.9033 -2.0060 -5.3609
5.5186 -0.4036 4.1691
Sc Sr K
1 1 3
Direct
0.0000 0.0000 0.0000 Sc
0.5000 0.5000 0.5000 Sr
0.0000 0.5000 0.0000 K
0.0000 0.0000 0.5000 K
0.5000 0.0000 0.0000 K
```

Computed properties:
Energy of formation from the pure elements = 774.4 meV per atom
Energy above the lowest structure with this stoichiometry = 0 meV/atom
Space group = Pm-3m, No. 221